Entry from the Alexandria database: a PBEsol-optimized structure of ZnHg2 (SCAN).

## Properties
mass density = 12.9 Mg/m³
energy of formation = 0.08 eV per atom

Cell lengths 5.4785, 5.4785, 5.4785 Å; angles 102.55, 102.55, 124.44 degrees
Atoms (fractional coordinates):
Zn  0.2500  0.2500  0.0000
Zn  0.7500  0.7500  0.0000
Hg  0.1545  0.6545  0.8090
Hg  0.3455  0.1545  0.5000
Hg  0.6545  0.8455  0.5000
Hg  0.8455  0.3455  0.1910